No. 1
Computed, not measured: crystalline YRh2Se at its relaxed geometry at the PBE level of DFT.

Unit cell a=4.9642 b=4.9642 c=4.4967 alpha=72.55 beta=72.55 gamma=46.41
Atoms (fractional coordinates):
Se1 0.5211 0.5211 0.3896
Y1 0.7508 0.7508 0.7555
Rh1 0.2526 0.2526 0.2429
Rh2 0.9755 0.9755 0.1120

Properties
* formation energy without anion corrections: -0.643 eV/atom

***

No. 2
Computed, not measured: crystalline LiPmThIr at its relaxed geometry at the PBE level of DFT.

Unit cell a=5.0735 b=5.0735 c=5.0735 alpha=60.00 beta=60.00 gamma=60.00
Atoms (fractional coordinates):
Ir1 0.5000 0.5000 0.5000
Li1 0.0000 0.0000 0.0000
Pm1 0.7500 0.7500 0.7500
Th1 0.2500 0.2500 0.2500

Properties
* calculated total energy: -24.38 eV per cell

***

No. 3
Computed, not measured: crystalline Nd6In2N at its relaxed geometry at the PBE level of DFT.

Unit cell a=3.6040 b=9.3242 c=8.9394 alpha=121.43 beta=90.00 gamma=90.00
Atoms (fractional coordinates):
Nd1 0.5000 0.5888 0.0000
Nd2 0.0000 0.7924 0.7904
Nd3 0.0000 0.2293 0.0000
Nd4 0.5000 0.3970 0.4168
In1 0.0000 0.6449 0.3359
Nd5 0.0000 0.0020 0.2096
In2 0.0000 0.3090 0.6641
Nd6 0.5000 0.9802 0.5832
N1 0.5000 0.0564 0.0000

Properties
* offset from the most stable computed form: 219 meV per atom
* formation energy without anion corrections: -0.338 eV/atom

***

No. 4
Computed, not measured: crystalline Ta2PIr at its relaxed geometry at the PBE level of DFT.

Unit cell a=8.8616 b=8.8616 c=8.8616 alpha=18.83 beta=18.83 gamma=18.83
Atoms (fractional coordinates):
Ta1 0.2532 0.2532 0.2532
Ta2 0.7468 0.7468 0.7468
Ir1 0.5000 0.5000 0.5000
P1 0.0000 0.0000 0.0000

Properties
* calculated total energy: -38.66 eV per cell

***

| no. | size of the total moment (μB per formula unit) |
| --- | --- |
| 1 | 0.000 |
| 2 | 0.000 |
| 3 | 0.001 |
| 4 | 0.000 |